VASP calculation (GGA-PBE) on crystalline PmHoEr2Sb4 at its relaxed geometry.

Structure (POSCAR):
```
PmHoEr2Sb4
1.0
7.607 0.000 0.000
0.000 4.397 0.000
-2.538 0.000 7.172
Pm Ho Er Sb
1 1 2 4
Direct
0.000 0.000 0.000
0.000 0.500 0.500
0.500 0.000 0.500
0.500 0.500 0.000
0.254 0.000 0.748
0.257 0.500 0.256
0.743 0.500 0.744
0.746 0.000 0.252
```

Properties
Energy (eV per atom): -5.49
SG: P2/m
Formation energy (no corrections) (eV/f.u.): -8.9

=====

VASP calculation (GGA-PBE) on crystalline Li2CrTc at its relaxed geometry.

Structure (POSCAR):
```
Li2CrTc
1.0
1.509 -1.924 0.000
1.509 1.924 0.000
0.000 0.000 9.330
Li Cr Tc
2 1 1
Direct
0.000 0.000 0.249
0.000 0.000 0.751
0.500 0.500 0.500
0.500 0.500 0.000
```

Properties
Energy (eV per atom): -5.55
SG: Cmmm
ΔH_f (0 K) (eV per atom): 0.40
Energy above the most stable polymorph in this dataset (meV/atom): 166

=====

VASP calculation (GGA-PBE) on crystalline Na2Np3NiSe6 at its relaxed geometry.

Structure (POSCAR):
```
Na2Np3NiSe6
1.0
3.602 -6.226 0.000
3.602 6.226 0.000
-2.466 0.000 6.465
Na Np Ni Se
2 3 1 6
Direct
0.166 0.834 0.000
0.834 0.166 0.000
0.000 0.000 0.500
0.331 0.669 0.500
0.669 0.331 0.500
0.500 0.500 0.000
0.099 0.419 0.752
0.260 0.260 0.255
0.419 0.099 0.752
0.581 0.901 0.248
0.740 0.740 0.745
0.901 0.581 0.248
```

Properties
Energy (eV per atom): -6.62
SG: C2/m
Formation energy (no corrections) (eV/f.u.): -11.2

=====

VASP calculation (GGA-PBE) on crystalline Pm2Mg5Ge4 at its relaxed geometry.

Structure (POSCAR):
```
Pm2Mg5Ge4
1.0
0.000 5.711 7.441
2.995 0.000 7.441
2.995 5.711 0.000
Pm Mg Ge
2 5 4
Direct
0.152 0.152 0.848
0.848 0.848 0.152
0.000 0.000 0.500
0.250 0.250 0.250
0.500 0.500 0.000
0.500 0.500 0.500
0.750 0.750 0.750
0.236 0.469 0.531
0.469 0.236 0.764
0.531 0.764 0.236
0.764 0.531 0.469
```

Properties
Energy (eV per atom): -3.57
SG: Fmmm
ΔH_f (0 K) (eV per atom): -0.31

=====

VASP calculation (GGA-PBE) on crystalline ZnMo2Os at its relaxed geometry.

Structure (POSCAR):
```
ZnMo2Os
1.0
3.214 0.000 0.000
0.000 3.214 0.000
0.000 0.000 5.817
Zn Mo Os
1 2 1
Direct
0.000 0.000 0.000
0.000 0.000 0.500
0.500 0.500 0.250
0.500 0.500 0.767
```

Properties
Energy (eV per atom): -8.33
SG: P4mm
ΔH_f (0 K) (eV per atom): 0.22

=====

VASP calculation (GGA-PBE) on crystalline Sr2In2Ir at its relaxed geometry.

Structure (POSCAR):
```
Sr2In2Ir
1.0
6.042 -2.172 0.000
6.042 2.172 0.000
-4.927 0.000 11.153
Sr In Ir
4 4 2
Direct
0.005 0.005 0.162
0.198 0.198 0.631
0.802 0.802 0.369
0.995 0.995 0.838
0.317 0.317 0.946
0.479 0.479 0.615
0.521 0.521 0.385
0.683 0.683 0.054
0.310 0.310 0.178
0.690 0.690 0.822
```

Properties
Energy (eV per atom): -3.92
SG: C2/m
ΔH_f (0 K) (eV per atom): -0.38
Energy above the most stable polymorph in this dataset (meV/atom): 0